# 1
DFT (PBE) results for a geometry-optimized TlSeBr2N structure.

Cell: 6.035 6.035 3.791 Å, 90.00 90.00 90.00°
Space group P4/mmm (No. 123)
Asymmetric unit:
1 Tl 0.000 0.000 0.000 [1 per cell]
2 Se 0.500 0.500 0.000 [1 per cell]
3 Br 0.000 0.500 0.500 [2 per cell]
4 N 0.500 0.500 0.500 [1 per cell]

Results
- Energy relative to the lowest polymorph listed for this composition: 0.000 eV/atom
- Energy relative to the elements, uncorrected: 0.5194 eV per atom
- Crystal system: tetragonal



# 2
DFT (PBE) results for a geometry-optimized BaPaReN4 structure.

Cell: 6.114 5.742 7.443 Å, 90.00 107.17 90.00°
Space group P2_1/m (No. 11)
Asymmetric unit:
1 Ba 0.215 0.250 0.436 [2 per cell]
2 Pa 0.301 0.250 0.965 [2 per cell]
3 Re 0.245 0.750 0.165 [2 per cell]
4 N 0.035 0.750 0.934 [2 per cell]
5 N 0.065 0.750 0.323 [2 per cell]
6 N 0.484 0.513 0.186 [4 per cell]

Results
- Energy relative to the elements, uncorrected: -0.7906 eV per atom
- Crystal system: monoclinic



# 3
DFT (PBE) results for a geometry-optimized YCrNi2 structure.

Cell: 3.807 3.902 8.628 Å, 90.00 90.00 90.00°
Space group Imm2 (No. 44)
Asymmetric unit:
1 Y 0.000 0.000 0.000 [2 per cell]
2 Cr 0.000 0.500 0.247 [2 per cell]
3 Ni 0.000 0.000 0.496 [2 per cell]
4 Ni 0.000 0.500 0.751 [2 per cell]

Results
- Energy relative to the lowest polymorph listed for this composition: 0.234 eV/atom
- Energy of formation from the pure elements: 113 meV/atom
- Crystal system: orthorhombic



# 4
DFT (PBE) results for a geometry-optimized Mg2InTe structure.

Cell: 9.125 3.963 6.044 Å, 90.00 108.20 90.00°
Space group C2/m (No. 12)
Asymmetric unit:
1 Mg 0.246 0.000 0.268 [4 per cell]
2 In 0.000 0.000 0.500 [2 per cell]
3 Te 0.000 0.500 0.000 [2 per cell]

Results
- Energy relative to the lowest polymorph listed for this composition: 0.041 eV/atom
- Energy relative to the elements, uncorrected: -0.2400 eV per atom
- Crystal system: monoclinic



# 5
DFT (PBE) results for a geometry-optimized ThHg2Pd9 structure.

Cell: 4.144 4.144 12.173 Å, 90.00 90.00 90.00°
Space group P4/mmm (No. 123)
Asymmetric unit:
1 Th 0.000 0.000 0.000 [1 per cell]
2 Hg 0.000 0.000 0.340 [2 per cell]
3 Pd 0.000 0.500 0.171 [4 per cell]
4 Pd 0.000 0.500 0.500 [2 per cell]
5 Pd 0.500 0.500 0.000 [1 per cell]
6 Pd 0.500 0.500 0.334 [2 per cell]

Results
- Energy of formation from the pure elements: -405 meV/atom
- Crystal system: tetragonal



# 6
DFT (PBE) results for a geometry-optimized Ba4GePBr2 structure.

Cell: 8.388 4.654 8.551 Å, 90.00 108.17 90.00°
Space group P2/m (No. 10)
Asymmetric unit:
1 Ba 0.232 0.000 0.213 [2 per cell]
2 Ba 0.247 0.500 0.776 [2 per cell]
3 Ge 0.500 0.000 0.000 [1 per cell]
4 P 0.000 0.500 0.000 [1 per cell]
5 Br 0.000 0.000 0.500 [1 per cell]
6 Br 0.500 0.500 0.500 [1 per cell]

Results
- Energy relative to the elements, uncorrected: -1.3019 eV per atom
- Crystal system: monoclinic



| no. | D(E_F) (states/eV per cell) |
| --- | --- |
| 1 | 3.27 |
| 2 | 4.86 |
| 3 | 7.69 |
| 4 | 2.43 |
| 5 | 11.87 |
| 6 | 6.37 |